Entry 1:
SrYNO2 GGA-PBE optimized geometry; energy relative to the elements, uncorrected = -0.586 eV/atom
1.0
4.394 0.000 0.000
0.000 4.394 0.000
0.000 0.000 4.342
Sr Y N O
1 1 1 2
Direct
0.000 0.000 0.000
0.500 0.500 0.500
0.000 0.000 0.500
0.000 0.500 0.000
0.500 0.000 0.000

***

Entry 2:
Ba4P2H GGA-PBE optimized geometry; ΔE to the lowest computed polymorph = 0 meV per atom
1.0
-5.359 5.359 4.775
5.359 -5.359 4.775
5.359 5.359 -4.775
Ba P H
8 4 2
Direct
0.070 0.805 0.160
0.090 0.930 0.735
0.105 0.445 0.765
0.195 0.355 0.265
0.555 0.320 0.660
0.645 0.910 0.840
0.660 0.895 0.340
0.680 0.340 0.235
0.103 0.125 0.478
0.375 0.897 0.022
0.647 0.625 0.522
0.875 0.353 0.978
0.000 0.000 0.000
0.750 0.250 0.500

***

Entry 3:
CaNbP2 GGA-PBE optimized geometry; calculated formation energy = -0.49 eV/atom; ΔE to the lowest computed polymorph = 439 meV per atom
1.0
-3.066 3.066 5.828
3.066 -3.066 5.828
3.066 3.066 -5.828
Ca Nb P
2 2 4
Direct
0.000 0.000 0.000
0.750 0.250 0.500
0.250 0.750 0.500
0.500 0.500 0.000
0.187 0.625 0.062
0.375 0.437 0.562
0.563 0.125 0.938
0.875 0.813 0.438

***

Entry 4:
AcGe2Pb GGA-PBE optimized geometry; calculated formation energy = -0.21 eV/atom; ΔE to the lowest computed polymorph = 139 meV per atom
1.0
4.017 0.000 0.000
0.000 4.017 0.000
0.000 0.000 6.759
Ac Ge Pb
1 2 1
Direct
0.000 0.000 0.000
0.500 0.500 0.298
0.500 0.500 0.702
0.000 0.000 0.500

***

Entry 5:
CrInS2N GGA-PBE optimized geometry; energy relative to the elements, uncorrected = 0.004 eV/atom; ΔE to the lowest computed polymorph = 0 meV per atom
1.0
4.870 0.000 0.000
0.000 4.870 0.000
0.000 0.000 3.588
Cr In S N
1 1 2 1
Direct
0.000 0.000 0.000
0.500 0.500 0.500
0.000 0.500 0.000
0.500 0.000 0.000
0.000 0.000 0.500

***

Entry 6:
BaCoTe2 GGA-PBE optimized geometry; energy relative to the elements, uncorrected = -0.724 eV/atom
1.0
-4.014 4.014 3.808
4.014 -4.014 3.808
4.014 4.014 -3.808
Ba Co Te
2 2 4
Direct
0.000 0.000 0.000
0.750 0.250 0.500
0.250 0.750 0.500
0.500 0.500 0.000
0.228 0.625 0.103
0.375 0.478 0.603
0.522 0.125 0.897
0.875 0.772 0.397